Compound: TbPr2P2N6
Source: Alexandria via LeMat-Bulk
Functional: PBE
Structure: relaxed

The calculation puts the uncorrected formation energy at -0.87 eV per atom. Its raw total energy is -84.51 eV for the cell shown. Its space-group type is No. 147. The density of states at the Fermi level is 3.3 states/eV/cell.

Cell: 5.7730 5.7730 6.0848 Å, 90.00 90.00 120.00°
Last column: nearest neighbours and their distance in Å.
Sites, in units of the cell vectors:
Tb (0.0000, 0.0000, 0.0000)  6 N 2.42
Pr (0.6667, 0.3333, 0.6566)  3 N 2.42
Pr (0.3333, 0.6667, 0.3434)  3 N 2.42
P (0.3333, 0.6667, 0.8193)  3 N 1.62
P (0.6667, 0.3333, 0.1807)  3 N 1.62
N (0.0891, 0.3711, 0.7626)  1 P 1.62
N (0.6289, 0.7180, 0.7626)  1 P 1.62
N (0.2820, 0.9109, 0.7626)  1 P 1.62
N (0.9109, 0.6289, 0.2374)  1 P 1.62
N (0.3711, 0.2820, 0.2374)  1 P 1.62
N (0.7180, 0.0891, 0.2374)  1 P 1.62

Compound: Sc2BMo
Source: Alexandria via LeMat-Bulk
Functional: PBE
Structure: relaxed

Its raw total energy is -28.23 eV for the cell shown. Its space-group type is No. 166. The density of states at the Fermi level is 4.2 states/eV/cell. The value obtained for the formation energy from the elements is 0.48 eV per atom.

Cell: 8.8544 8.8544 8.8544 Å, 19.76 19.76 19.76°
Last column: nearest neighbours and their distance in Å.
Sites, in units of the cell vectors:
Sc (0.8951, 0.8951, 0.8951)  3 B 2.38
Sc (0.1049, 0.1049, 0.1049)  3 B 2.38
Mo (0.0000, 0.0000, 0.0000)  2 Sc 2.73, 6 Mo 3.04
B (0.5000, 0.5000, 0.5000)  6 Sc 2.38

Compound: NdHfSe3
Source: Alexandria via LeMat-Bulk
Functional: PBE
Structure: relaxed

The calculation puts the uncorrected formation energy at -1.52 eV per atom. Its raw total energy is -131.14 eV for the cell shown. Its space-group type is No. 62. The density of states at the Fermi level is 11.6 states/eV/cell.

Cell: 3.9101 8.6151 14.1727 Å, 90.00 90.00 90.00°
Last column: nearest neighbours and their distance in Å.
Sites, in units of the cell vectors:
Nd (0.2500, 0.9172, 0.3286)  8 Se 3.05-3.31
Nd (0.7500, 0.0828, 0.6714)  8 Se 3.05-3.31
Nd (0.7500, 0.5828, 0.8286)  8 Se 3.05-3.31
Nd (0.2500, 0.4172, 0.1714)  8 Se 3.05-3.31
Hf (0.2500, 0.6513, 0.5473)  6 Se 2.62-2.71
Hf (0.7500, 0.3487, 0.4527)  6 Se 2.62-2.71
Hf (0.7500, 0.8487, 0.0473)  6 Se 2.62-2.71
Hf (0.2500, 0.1513, 0.9527)  6 Se 2.62-2.71
Se (0.7500, 0.1955, 0.2884)  1 Hf 2.68
Se (0.2500, 0.6539, 0.9876)  2 Hf 2.71
Se (0.2500, 0.0282, 0.1217)  3 Hf 2.62-2.71
Se (0.2500, 0.5282, 0.3783)  3 Hf 2.62-2.71
Se (0.2500, 0.1539, 0.5124)  2 Hf 2.71
Se (0.7500, 0.4718, 0.6217)  3 Hf 2.62-2.71
Se (0.2500, 0.3045, 0.7884)  1 Hf 2.68
Se (0.7500, 0.9718, 0.8783)  3 Hf 2.62-2.71
Se (0.7500, 0.3461, 0.0124)  2 Hf 2.71
Se (0.7500, 0.6955, 0.2116)  1 Hf 2.68
Se (0.7500, 0.8461, 0.4876)  2 Hf 2.71
Se (0.2500, 0.8045, 0.7116)  1 Hf 2.68

Q: raw total energy of number 3 (NdHfSe3)?
A: -131.14 eV for the cell shown

Q: What is the raw total energy in the second record?
A: -28.23 eV for the cell shown

Q: Number 2 is which compound?
A: Sc2BMo